VASP calculation (PBE) on Mg2SiPd2 after structural relaxation.

Output
formation energy from raw total energies = -0.4728 eV per atom
ΔE to the lowest computed polymorph = 14.4 kJ/mol of atoms

a = 7.1151 Å, b = 7.1151 Å, c = 7.1151 Å
α = 133.48°, β = 64.71°, γ = 137.65°
Closest atoms and distances in Å follow each position.
Fractional coordinates of all 10 atoms:
Mg (0.1255, 0.1437, 0.2692)  5 Pd 2.66-2.95, 2 Si 2.82
Mg (0.3745, 0.6437, 0.0182)  5 Pd 2.66-2.95, 2 Si 2.82
Mg (0.6255, 0.3563, 0.9818)  5 Pd 2.66-2.95, 2 Si 2.82
Mg (0.8745, 0.8563, 0.7308)  5 Pd 2.66-2.95, 2 Si 2.82
Si (0.2500, 0.7500, 0.5000)  4 Pd 2.43, 2 Si 2.57
Si (0.7500, 0.2500, 0.5000)  4 Pd 2.43, 2 Si 2.57
Pd (0.1533, 0.6655, 0.8188)  2 Si 2.43, 2 Mg 2.66-2.71
Pd (0.3467, 0.1655, 0.5122)  2 Si 2.43, 2 Mg 2.66-2.71
Pd (0.6533, 0.8345, 0.4878)  2 Si 2.43, 2 Mg 2.66-2.71
Pd (0.8467, 0.3345, 0.1812)  2 Si 2.43, 2 Mg 2.66-2.71

VASP calculation (PBE) on KCa2NpCl8 after structural relaxation.

Output
formation energy from raw total energies = -2.0800 eV per atom

a = 6.5487 Å, b = 8.6646 Å, c = 6.6500 Å
α = 90.00°, β = 90.24°, γ = 90.00°
Closest atoms and distances in Å follow each position.
Fractional coordinates of all 12 atoms:
K (0.0000, 0.0000, 0.0000)  6 Cl 3.02-3.10
Ca (0.5000, 0.2440, 0.5000)  6 Cl 2.71-2.91
Ca (0.5000, 0.7560, 0.5000)  6 Cl 2.71-2.91
Np (0.0000, 0.5000, 0.0000)  6 Cl 2.73-2.82
Cl (0.2380, 0.2789, 0.1747)  1 Np 2.73, 1 Ca 2.77
Cl (0.2380, 0.7211, 0.1747)  1 Np 2.73, 1 Ca 2.77
Cl (0.2769, 0.5000, 0.6761)  1 Np 2.82, 2 Ca 2.91
Cl (0.2862, 0.0000, 0.6448)  2 Ca 2.71, 1 K 3.02
Cl (0.7138, 0.0000, 0.3552)  2 Ca 2.71, 1 K 3.02
Cl (0.7231, 0.5000, 0.3239)  1 Np 2.82, 2 Ca 2.91
Cl (0.7620, 0.2789, 0.8253)  1 Np 2.73, 1 Ca 2.77
Cl (0.7620, 0.7211, 0.8253)  1 Np 2.73, 1 Ca 2.77

VASP calculation (PBE) on Ac3Se after structural relaxation.

Output
formation energy from raw total energies = -0.6394 eV per atom
ΔE to the lowest computed polymorph = 6.1 kJ/mol of atoms

a = 4.0507 Å, b = 4.0576 Å, c = 10.2529 Å
α = 90.00°, β = 90.00°, γ = 90.00°
Closest atoms and distances in Å follow each position.
Fractional coordinates of all 4 atoms:
Ac (0.0000, 0.0000, 0.0000)  2 Se 3.28
Ac (0.0000, 0.5000, 0.3735)  4 Se 3.13
Ac (0.5000, 0.5000, 0.7246)  10 Ac 4.02-4.13
Se (0.5000, 0.0000, 0.2512)  6 Ac 3.13-3.28

VASP calculation (PBE) on Cd2GaI6 after structural relaxation.

Output
formation energy from raw total energies = -0.4719 eV per atom

a = 11.0847 Å, b = 11.0847 Å, c = 7.6106 Å
α = 103.54°, β = 103.54°, γ = 91.59°
Closest atoms and distances in Å follow each position.
Fractional coordinates of all 18 atoms:
Cd (0.1261, 0.2825, 0.3605)  4 I 2.82-2.85
Cd (0.2825, 0.1261, 0.8605)  4 I 2.82-2.85
Cd (0.7175, 0.8739, 0.1395)  4 I 2.82-2.85
Cd (0.8739, 0.7175, 0.6395)  4 I 2.82-2.85
Ga (0.3128, 0.6872, 0.7500)  4 I 2.79-2.85
Ga (0.6872, 0.3128, 0.2500)  4 I 2.79-2.85
I (0.0689, 0.2274, 0.6772)  2 Cd 2.82-2.85
I (0.0971, 0.6646, 0.8740)  1 Ga 2.79, 1 Cd 2.85
I (0.2274, 0.0689, 0.1772)  2 Cd 2.82-2.85
I (0.2915, 0.4956, 0.4183)  1 Cd 2.83, 1 Ga 2.85
I (0.3354, 0.9029, 0.6260)  1 Ga 2.79, 1 Cd 2.85
I (0.4956, 0.2915, 0.9183)  1 Cd 2.83, 1 Ga 2.85
I (0.5044, 0.7085, 0.0817)  1 Cd 2.83, 1 Ga 2.85
I (0.6646, 0.0971, 0.3740)  1 Ga 2.79, 1 Cd 2.85
I (0.7085, 0.5044, 0.5817)  1 Cd 2.83, 1 Ga 2.85
I (0.7726, 0.9311, 0.8228)  2 Cd 2.82-2.85
I (0.9029, 0.3354, 0.1260)  1 Ga 2.79, 1 Cd 2.85
I (0.9311, 0.7726, 0.3228)  2 Cd 2.82-2.85

VASP calculation (PBE) on AlCuRe after structural relaxation.

Output
ΔE to the lowest computed polymorph = 14.9 kJ/mol of atoms

a = 4.2264 Å, b = 4.2264 Å, c = 2.6705 Å
α = 90.00°, β = 90.00°, γ = 120.00°
Closest atoms and distances in Å follow each position.
Fractional coordinates of all 3 atoms:
Al (0.0000, 0.0000, 0.0000)  3 Cu 2.44, 2 Al 2.67
Cu (0.6667, 0.3333, 0.0000)  3 Al 2.44, 2 Cu 2.67
Re (0.3333, 0.6667, 0.5000)  2 Re 2.67, 6 Al 2.78, 6 Cu 2.78

VASP calculation (PBE) on Be2ReNiH after structural relaxation.

a = 3.5818 Å, b = 3.5818 Å, c = 3.5557 Å
α = 90.00°, β = 90.00°, γ = 90.00°
Closest atoms and distances in Å follow each position.
Fractional coordinates of all 5 atoms:
Be (0.0000, 0.5000, 0.0000)  2 H 1.79
Be (0.5000, 0.0000, 0.0000)  2 H 1.79
Re (0.0000, 0.0000, 0.5000)  2 H 1.78
Ni (0.5000, 0.5000, 0.5000)  8 Be 2.52, 4 Re 2.53
H (0.0000, 0.0000, 0.0000)  2 Re 1.78, 4 Be 1.79

VASP calculation (PBE) on KCaIr2 after structural relaxation.

Output
ΔE to the lowest computed polymorph = 66.0 kJ/mol of atoms

a = 4.9401 Å, b = 4.9401 Å, c = 4.9401 Å
α = 60.00°, β = 60.00°, γ = 60.00°
Closest atoms and distances in Å follow each position.
Fractional coordinates of all 4 atoms:
K (0.0000, 0.0000, 0.0000)  8 Ir 3.03
Ca (0.5000, 0.5000, 0.5000)  8 Ir 3.03
Ir (0.2500, 0.2500, 0.2500)  4 K 3.03, 4 Ca 3.03
Ir (0.7500, 0.7500, 0.7500)  4 K 3.03, 4 Ca 3.03

VASP calculation (PBE) on TeOsPb2 after structural relaxation.

Output
formation energy from raw total energies = 0.4616 eV per atom

a = 3.4175 Å, b = 3.8275 Å, c = 8.2032 Å
α = 90.00°, β = 101.92°, γ = 90.00°
Closest atoms and distances in Å follow each position.
Fractional coordinates of all 4 atoms:
Te (0.0000, 0.0000, 0.0000)  2 Os 2.63
Os (0.1108, 0.5000, 0.2244)  2 Te 2.63, 4 Pb 2.85
Pb (0.3231, 0.5000, 0.6508)  6 Pb 3.37-3.42, 1 Os 3.42
Pb (0.6876, 0.0000, 0.3790)  4 Os 2.85

VASP calculation (PBE) on ReBW after structural relaxation.

Output
ΔE to the lowest computed polymorph = 5.4 kJ/mol of atoms

a = 5.5506 Å, b = 4.5893 Å, c = 4.5698 Å
α = 74.60°, β = 52.86°, γ = 52.54°
Closest atoms and distances in Å follow each position.
Fractional coordinates of all 6 atoms:
Re (0.1695, 0.1695, 0.8305)  4 B 2.37
Re (0.8305, 0.8305, 0.1695)  4 B 2.37
B (0.2500, 0.2500, 0.2500)  2 B 2.36, 4 Re 2.37, 4 W 2.38
B (0.7500, 0.7500, 0.7500)  2 B 2.36, 4 Re 2.37, 4 W 2.38
W (0.3322, 0.6678, 0.3322)  4 B 2.38, 1 W 2.63
W (0.6678, 0.3322, 0.6678)  4 B 2.38, 1 W 2.63

VASP calculation (PBE) on MgOsCl2 after structural relaxation.

Output
formation energy from raw total energies = 0.2303 eV per atom
ΔE to the lowest computed polymorph = 43.2 kJ/mol of atoms

a = 3.4218 Å, b = 4.0364 Å, c = 5.1152 Å
α = 90.00°, β = 91.08°, γ = 90.00°
Closest atoms and distances in Å follow each position.
Fractional coordinates of all 4 atoms:
Mg (0.0000, 0.0000, 0.0000)  4 Cl 2.65
Os (0.5000, 0.0000, 0.5000)  4 Cl 2.45
Cl (0.3001, 0.5000, 0.7329)  2 Os 2.45, 2 Mg 2.65
Cl (0.6999, 0.5000, 0.2671)  2 Os 2.45, 2 Mg 2.65

VASP calculation (PBE) on Y2UMnC4 after structural relaxation.

a = 5.9804 Å, b = 5.9804 Å, c = 11.8986 Å
α = 90.00°, β = 90.00°, γ = 146.71°
Closest atoms and distances in Å follow each position.
Fractional coordinates of all 16 atoms:
Y (0.1327, 0.8673, 0.5459)  4 C 2.35-2.52
Y (0.1327, 0.8673, 0.9541)  4 C 2.35-2.52
Y (0.8673, 0.1327, 0.0459)  4 C 2.35-2.52
Y (0.8673, 0.1327, 0.4541)  4 C 2.35-2.52
U (0.4041, 0.5959, 0.7500)  6 C 2.59-2.60
U (0.5959, 0.4041, 0.2500)  6 C 2.59-2.60
Mn (0.3322, 0.6678, 0.2500)  2 C 1.79
Mn (0.6678, 0.3322, 0.7500)  2 C 1.79
C (0.0749, 0.9251, 0.7500)  2 Mn 2.02
C (0.2232, 0.7768, 0.1418)  1 Mn 1.79
C (0.2232, 0.7768, 0.3582)  1 Mn 1.79
C (0.5000, 0.5000, 0.0000)  4 Y 2.35
C (0.5000, 0.5000, 0.5000)  4 Y 2.35
C (0.7768, 0.2232, 0.6418)  1 Mn 1.79
C (0.7768, 0.2232, 0.8582)  1 Mn 1.79
C (0.9251, 0.0749, 0.2500)  2 Mn 2.02

no.,total magnetization (μB/atom),final energy (eV/atom)
1,0.000,-4.27
2,0.333,-4.81
3,0.236,-4.59
4,0.000,-2.04
5,0.000,-6.73
6,0.000,-5.70
7,0.000,-4.32
8,0.000,-4.99
9,0.000,-10.92
10,0.000,-3.90
11,0.358,-8.74